# 1
Re2NiOs | PBE | optimized geometry

Summary:
As for the energy above the most stable polymorph in this dataset: 173.8 meV per atom. The value obtained for the total energy is -41.4 eV for the cell shown.

POSCAR file:
```
Re2NiOs
1.0
8.886 -0.007 -0.004
8.471 2.686 -0.004
8.471 1.308 2.347
Ni Os Re
1 1 2
direct
0.500 0.500 0.500
0.752 0.752 0.752
0.001 0.001 0.001
0.247 0.247 0.247
```

# 2
Ba2In3BiAu12 | PBE | optimized geometry

Summary:
The value obtained for the total energy is -57.3 eV for the cell shown.

POSCAR file:
```
Ba2In3BiAu12
1.0
-2.455 8.803 1.133
-5.199 4.347 -6.235
-8.718 2.326 1.840
Ba In Bi Au
2 3 1 12
direct
0.606 0.606 0.606
0.394 0.394 0.394
0.500 0.000 0.000
0.000 0.500 0.000
0.000 0.000 0.500
0.000 0.000 0.000
0.352 0.352 0.995
0.865 0.865 0.373
0.373 0.865 0.865
0.995 0.352 0.352
0.865 0.373 0.865
0.352 0.995 0.352
0.648 0.648 0.005
0.135 0.135 0.627
0.627 0.135 0.135
0.005 0.648 0.648
0.135 0.627 0.135
0.648 0.005 0.648
```

# 3
Cs2AcSbSe4 | PBE | optimized geometry

Summary:
The value obtained for the total energy is -66.5 eV for the cell shown.

POSCAR file:
```
Cs2AcSbSe4
1.0
9.352 0.008 -0.141
0.001 9.352 -0.141
-4.684 -4.688 6.759
Cs Ac Sb Se
4 2 2 8
direct
0.500 0.000 0.000
0.500 0.000 0.500
0.000 0.000 0.500
0.500 0.500 0.000
0.000 0.500 0.000
0.000 0.500 0.500
0.500 0.500 0.500
0.000 0.000 0.000
0.195 0.744 0.970
0.756 0.305 0.530
0.244 0.695 0.470
0.805 0.256 0.030
0.763 0.737 0.954
0.763 0.737 0.546
0.237 0.263 0.454
0.237 0.263 0.046
```

# 4
HoVSe | PBE | optimized geometry

Summary:
The value obtained for the total energy is -36.9 eV for the cell shown.

POSCAR file:
```
HoVSe
1.0
3.441 0.000 0.000
-1.721 2.980 0.000
0.000 0.000 12.146
V Se Ho
2 2 2
direct
0.610 0.221 0.000
0.278 0.556 0.500
0.611 0.223 0.370
0.611 0.223 0.630
0.278 0.555 0.816
0.278 0.555 0.184
```

# 5
LiSiTe | PBE | optimized geometry

Summary:
As for the energy above the most stable polymorph in this dataset: 97.6 meV per atom. The value obtained for the total energy is -10.1 eV for the cell shown.

POSCAR file:
```
LiSiTe
1.0
5.050 0.000 0.000
-2.525 4.374 0.000
0.000 0.000 2.980
Li Si Te
1 1 1
direct
0.000 0.000 0.996
0.667 0.333 0.501
0.333 0.667 0.502
```

# 6
CaPmSn4 | PBE | optimized geometry

Summary:
As for the energy above the most stable polymorph in this dataset: 143.0 meV per atom. The value obtained for the total energy is -24.9 eV for the cell shown.

POSCAR file:
```
CaPmSn4
1.0
6.242 0.000 0.000
3.121 5.406 0.000
3.121 1.802 5.097
Ca Sn Pm
1 4 1
direct
0.250 0.250 0.250
0.625 0.625 0.125
0.625 0.125 0.625
0.625 0.625 0.625
0.125 0.625 0.625
0.000 0.000 0.000
```

# 7
Sm2AlGa3Pt4 | PBE | optimized geometry

Summary:
The value obtained for the total energy is -56.5 eV for the cell shown.

POSCAR file:
```
Sm2AlGa3Pt4
1.0
4.164 0.000 0.000
0.000 4.164 0.000
0.000 0.000 10.947
Sm Al Ga Pt
2 1 3 4
direct
0.500 0.000 0.250
0.000 0.500 0.750
0.500 0.500 0.500
0.000 0.000 0.500
0.500 0.000 0.865
0.000 0.500 0.135
0.500 0.500 0.000
0.000 0.000 0.000
0.500 0.000 0.636
0.000 0.500 0.364
```

# 8
AlInTc3 | PBE | optimized geometry

Summary:
As for the energy above the most stable polymorph in this dataset: 0.0 meV per atom. The value obtained for the total energy is -32.0 eV for the cell shown.

POSCAR file:
```
AlInTc3
1.0
4.498 0.000 0.000
0.000 4.498 0.000
0.000 0.000 4.498
Al Tc In
1 3 1
direct
0.000 0.000 0.000
0.000 0.500 0.000
0.000 0.000 0.500
0.500 0.000 0.000
0.500 0.500 0.500
```

# 9
InFe2Ir | PBE | optimized geometry

Summary:
The value obtained for the total energy is -27.9 eV for the cell shown.

POSCAR file:
```
InFe2Ir
1.0
2.806 -0.003 0.000
0.003 2.806 0.000
0.000 0.000 7.501
Fe In Ir
2 1 1
direct
0.000 0.000 0.979
0.000 0.000 0.521
0.500 0.500 0.250
0.500 0.500 0.750
```

# 10
La3ErN | PBE | optimized geometry

Summary:
The value obtained for the total energy is -30.2 eV for the cell shown.

POSCAR file:
```
La3ErN
1.0
5.213 0.000 0.000
0.000 5.213 0.000
0.000 0.000 5.213
N La Er
1 3 1
direct
0.000 0.000 0.000
0.000 0.500 0.000
0.000 0.000 0.500
0.500 0.000 0.000
0.500 0.500 0.500
```

# 11
BeFeSi2 | PBE | optimized geometry

Summary:
The value obtained for the total energy is -23.2 eV for the cell shown.

POSCAR file:
```
BeFeSi2
1.0
2.954 0.000 0.000
0.000 2.954 0.000
0.000 0.000 4.897
Be Si Fe
1 2 1
direct
0.500 0.500 0.250
0.000 0.000 0.006
0.000 0.000 0.494
0.500 0.500 0.750
```

# 12
LaSiAu | PBE | optimized geometry

Summary:
The value obtained for the total energy is -30.8 eV for the cell shown.

POSCAR file:
```
LaSiAu
1.0
-1.503 5.691 2.200
-5.553 -0.441 -2.653
-3.054 -1.718 2.359
Si Au La
2 2 2
direct
0.393 0.229 0.477
0.997 0.229 0.477
0.695 0.500 0.093
0.195 0.070 0.070
0.695 0.960 0.147
0.195 0.647 0.797
```